1.
BaSmV4O12 | PBE+U | optimized geometry

Geometry as POSCAR:
```
BaSmV4O12
1.0
5.402 0.000 0.000
0.000 5.402 0.000
0.000 0.000 7.579
O Sm Ba V
12 1 1 4
Cartesian
1.317 1.317 1.980
4.085 4.085 5.599
2.701 0.000 3.790
4.085 1.317 1.980
1.317 1.317 5.599
0.000 2.701 0.000
4.085 1.317 5.599
0.000 2.701 3.790
4.085 4.085 1.980
1.317 4.085 5.599
1.317 4.085 1.980
2.701 0.000 0.000
0.000 0.000 3.790
2.701 2.701 0.000
2.701 0.000 1.913
0.000 2.701 1.913
0.000 2.701 5.666
2.701 0.000 5.666
```

Its crystal system is tetragonal. As for the total DFT energy (no corrections): -7.46 eV per atom. The space group is P4/mmm, No. 123.

2.
BaSm2VO5 | PBE+U | optimized geometry

Geometry as POSCAR:
```
BaSm2VO5
1.0
-2.656 -2.215 -1.953
1.487 -4.681 3.287
-3.472 4.887 3.217
Sm O V Ba
2 5 1 1
Cartesian
-1.670 0.592 1.599
-2.971 -2.602 2.952
-3.257 2.246 1.881
-2.476 -0.213 3.608
-1.384 -4.256 2.670
0.000 0.000 0.000
-2.165 -1.796 0.943
-1.328 -1.108 -0.977
0.744 -2.341 1.643
```

Its crystal system is orthorhombic. As for the total DFT energy (no corrections): -7.68 eV per atom. The space group is Immm, No. 71.

3.
Ba3Sm2WO9 | PBE+U | optimized geometry

Geometry as POSCAR:
```
Ba3Sm2WO9
1.0
10.739 -0.006 -0.002
5.345 9.314 0.002
-7.135 -6.222 5.071
Ba O Sm W
6 18 4 2
Cartesian
8.905 3.162 1.214
5.234 -3.105 3.740
0.044 -0.076 3.856
3.715 6.192 1.331
3.519 -0.143 1.329
5.430 3.229 3.742
2.614 1.705 3.678
11.729 4.503 1.393
2.825 -1.498 3.793
6.424 -1.372 1.388
6.336 1.382 1.393
8.811 0.021 1.402
2.525 4.459 3.683
2.713 -4.689 3.816
3.334 3.061 1.390
9.058 6.282 1.278
0.891 -1.539 1.253
-2.780 -1.417 3.678
-0.108 -3.195 3.793
6.125 4.584 1.278
0.138 3.066 3.668
8.012 1.401 3.666
5.615 0.026 3.681
0.937 1.685 1.404
5.251 3.039 0.000
0.000 0.000 0.000
1.802 -3.114 2.534
10.833 6.269 0.000
1.751 3.078 2.536
7.198 0.009 2.534
```

Its crystal system is orthorhombic. As for the total DFT energy (no corrections): -7.31 eV per atom. The space group is Immm, No. 71.

4.
BaSmW2O8 | PBE+U | optimized geometry

Geometry as POSCAR:
```
BaSmW2O8
1.0
6.074 0.000 0.000
-3.037 5.260 0.000
0.000 0.000 7.627
O Ba W Sm
8 1 2 1
Cartesian
0.000 3.507 0.115
0.001 1.743 5.353
1.510 0.870 2.273
3.036 3.517 2.273
1.527 4.390 5.353
4.565 0.873 2.273
-1.528 4.388 5.353
3.037 1.753 7.512
0.000 0.000 0.000
0.000 3.507 5.933
3.037 1.753 1.694
0.000 0.000 3.813
```

Its crystal system is trigonal. As for the total DFT energy (no corrections): -7.43 eV per atom. The space group is P-3m1, No. 164.